1.
VASP calculation (GGA-PBEsol) on a relaxed structure of Na3CrTe.

Results
Symmetry = Pm-3m (221)
Uncorrected formation energy = 0.30 eV/atom

```
Na3CrTe
1.0
5.811 0.000 0.000
0.000 5.811 0.000
0.000 0.000 5.811
Cr Te Na
1 1 3
Direct
0.500 0.500 0.500 Cr
0.000 0.000 0.000 Te
0.000 0.500 0.000 Na
0.000 0.000 0.500 Na
0.500 0.000 0.000 Na
```

***

2.
VASP calculation (GGA-PBEsol) on a relaxed structure of NaCr2W.

Results
Symmetry = Fm-3m (225)
Raw total energy = -0.577 Ry per atom

```
NaCr2W
1.0
4.374 0.000 0.000
2.187 3.788 0.000
2.187 1.263 3.572
Cr W Na
2 1 1
Direct
0.250 0.250 0.250 Cr
0.750 0.750 0.750 Cr
0.500 0.500 0.500 W
0.000 0.000 0.000 Na
```

***

3.
VASP calculation (GGA-PBEsol) on a relaxed structure of NaZnCr2W.

Results
Symmetry = P4/mmm (123)
Raw total energy = -0.408 Ry per atom

```
NaZnCr2W
1.0
-0.706 -3.783 -1.973
4.203 0.150 -1.790
1.634 -2.210 3.652
Cr Zn W Na
2 1 1 1
Direct
0.000 0.000 0.500 Cr
0.000 0.500 0.000 Cr
0.000 0.000 0.000 Zn
0.500 0.500 0.500 W
0.500 0.000 0.000 Na
```

***

4.
VASP calculation (GGA-PBEsol) on a relaxed structure of NaZnCr3.

Results
Symmetry = Pm-3m (221)
Raw total energy = -0.334 Ry per atom

```
NaZnCr3
1.0
4.831 0.000 0.000
0.000 4.831 0.000
0.000 0.000 4.831
Cr Zn Na
3 1 1
Direct
0.000 0.500 0.000 Cr
0.000 0.000 0.500 Cr
0.500 0.000 0.000 Cr
0.500 0.500 0.500 Zn
0.000 0.000 0.000 Na
```

***

5.
VASP calculation (GGA-PBEsol) on a relaxed structure of NbCrNi2.

Results
Symmetry = Fm-3m (225)
Raw total energy = -0.605 Ry per atom

```
NbCrNi2
1.0
4.189 0.000 0.000
2.095 3.628 0.000
2.095 1.209 3.420
Ni Nb Cr
2 1 1
Direct
0.250 0.250 0.250 Ni
0.750 0.750 0.750 Ni
0.500 0.500 0.500 Nb
0.000 0.000 0.000 Cr
```

***

6.
VASP calculation (GGA-PBEsol) on a relaxed structure of NbCrNi3.

Results
Symmetry = Pm-3m (221)
Raw total energy = -0.473 Ry per atom

```
NbCrNi3
1.0
-2.169 -3.427 1.776
3.592 -2.538 -0.509
1.412 1.192 4.024
Ni Nb Cr
3 1 1
Direct
0.000 0.500 0.000 Ni
0.000 0.000 0.500 Ni
0.500 0.000 0.000 Ni
0.000 0.000 0.000 Nb
0.500 0.500 0.500 Cr
```

***

7.
VASP calculation (GGA-PBEsol) on a relaxed structure of NbCr2NiW.

Results
Symmetry = P4/mmm (123)
Raw total energy = -0.585 Ry per atom

```
NbCr2NiW
1.0
4.335 0.000 0.000
0.000 4.335 0.000
0.000 0.000 4.742
Ni Nb W Cr
1 1 1 2
Direct
0.500 0.500 0.500 Ni
0.000 0.000 0.000 Nb
0.000 0.000 0.500 W
0.000 0.500 0.000 Cr
0.500 0.000 0.000 Cr
```

***

8.
VASP calculation (GGA-PBEsol) on a relaxed structure of NbCr3O.

Results
Symmetry = Pm-3m (221)
Uncorrected formation energy = -0.33 eV/atom

```
NbCr3O
1.0
-3.830 -0.181 -0.443
0.478 -1.299 -3.603
0.019 -3.630 1.311
Cr Nb O
3 1 1
Direct
0.000 0.500 0.000 Cr
0.000 0.000 0.500 Cr
0.500 0.000 0.000 Cr
0.500 0.500 0.500 Nb
0.000 0.000 0.000 O
```

***

9.
VASP calculation (GGA-PBEsol) on a relaxed structure of NbCrO3.

Results
Symmetry = Pm-3m (221)
Uncorrected formation energy = -1.55 eV/atom

```
NbCrO3
1.0
-0.010 3.966 -0.270
-0.726 0.263 3.900
3.909 0.059 0.724
Cr Nb O
1 1 3
Direct
0.500 0.500 0.500 Cr
0.000 0.000 0.000 Nb
0.000 0.500 0.000 O
0.000 0.000 0.500 O
0.500 0.000 0.000 O
```

***

10.
VASP calculation (GGA-PBEsol) on a relaxed structure of Nb2CrPO.

Results
Symmetry = P4/mmm (123)
Uncorrected formation energy = -0.66 eV/atom

```
Nb2CrPO
1.0
-0.211 -2.709 2.573
4.188 -0.269 0.059
0.142 2.883 3.047
Cr Nb O P
1 2 1 1
Direct
0.500 0.000 0.000 Cr
0.000 0.000 0.500 Nb
0.000 0.500 0.000 Nb
0.000 0.000 0.000 O
0.500 0.500 0.500 P
```

***

11.
VASP calculation (GGA-PBEsol) on a relaxed structure of Nb3CrP6O24.

Results
Symmetry = R3 (146)
Uncorrected formation energy = -2.33 eV/atom

```
Nb3CrP6O24
1.0
8.663 0.000 0.000
4.331 7.502 0.000
4.331 2.501 7.430
Nb Cr P O
3 1 6 24
Direct
0.142 0.142 0.575 Nb
0.358 0.358 0.927 Nb
0.640 0.640 0.081 Nb
0.856 0.856 0.433 Cr
0.748 0.479 0.743 P
0.030 0.748 0.743 P
0.479 0.030 0.743 P
0.541 0.968 0.254 P
0.968 0.237 0.254 P
0.237 0.541 0.254 P
0.280 0.502 0.084 O
0.502 0.134 0.084 O
0.927 0.303 0.717 O
0.134 0.280 0.084 O
0.581 0.430 0.778 O
0.756 0.652 0.582 O
0.053 0.927 0.717 O
0.210 0.581 0.778 O
0.430 0.210 0.778 O
0.359 0.994 0.416 O
0.707 0.954 0.278 O
0.994 0.231 0.416 O
0.011 0.756 0.582 O
0.303 0.053 0.717 O
0.652 0.011 0.582 O
0.574 0.788 0.225 O
0.788 0.412 0.225 O
0.954 0.061 0.278 O
0.231 0.359 0.416 O
0.412 0.574 0.225 O
0.864 0.719 0.918 O
0.061 0.707 0.278 O
0.500 0.864 0.918 O
0.719 0.500 0.918 O
```

***

12.
VASP calculation (GGA-PBEsol) on a relaxed structure of Ti3NbCr2P6O24.

Results
Symmetry = R3 (146)
Uncorrected formation energy = -2.31 eV/atom

```
Ti3NbCr2P6O24
1.0
8.635 0.000 0.000
4.318 7.478 0.000
4.318 2.493 7.020
Ti Nb Cr P O
3 1 2 6 24
Direct
0.144 0.144 0.568 Ti
0.356 0.356 0.931 Ti
0.644 0.644 0.069 Ti
0.858 0.858 0.427 Nb
0.003 0.003 0.992 Cr
0.500 0.500 0.501 Cr
0.749 0.452 0.754 P
0.045 0.749 0.754 P
0.539 0.957 0.249 P
0.957 0.255 0.249 P
0.255 0.539 0.249 P
0.452 0.045 0.754 P
0.319 0.496 0.070 O
0.496 0.115 0.070 O
0.913 0.260 0.767 O
0.115 0.319 0.070 O
0.811 0.611 0.571 O
0.587 0.436 0.737 O
0.060 0.913 0.767 O
0.240 0.587 0.737 O
0.384 0.000 0.430 O
0.436 0.240 0.737 O
0.736 0.943 0.228 O
0.000 0.186 0.430 O
0.007 0.811 0.571 O
0.260 0.060 0.767 O
0.556 0.761 0.267 O
0.611 0.007 0.571 O
0.761 0.415 0.267 O
0.943 0.093 0.228 O
0.415 0.556 0.267 O
0.186 0.384 0.430 O
0.883 0.689 0.930 O
0.093 0.736 0.228 O
0.498 0.883 0.930 O
0.689 0.498 0.930 O
```

***

13.
VASP calculation (GGA-PBEsol) on a relaxed structure of NbCrSnO2.

Results
Symmetry = P4/mmm (123)
Uncorrected formation energy = -0.42 eV/atom

```
NbCrSnO2
1.0
-1.896 2.630 1.885
-2.813 -0.260 -2.466
-2.198 -3.658 2.893
Cr Nb Sn O
1 1 1 2
Direct
0.000 0.000 0.000 Cr
0.000 0.000 0.500 Nb
0.500 0.500 0.500 Sn
0.000 0.500 0.000 O
0.500 0.000 0.000 O
```

***

14.
VASP calculation (GGA-PBEsol) on a relaxed structure of Sr2NbCrO6.

Results
Symmetry = Fm-3m (225)
Uncorrected formation energy = -2.73 eV/atom

```
Sr2NbCrO6
1.0
-5.496 0.870 -0.086
-3.030 -1.767 -4.320
-3.504 -4.278 0.623
Sr Nb O Cr
2 1 6 1
Direct
0.750 0.750 0.750 Sr
0.250 0.250 0.250 Sr
0.500 0.500 0.500 Nb
0.247 0.753 0.247 O
0.247 0.247 0.753 O
0.753 0.753 0.247 O
0.247 0.753 0.753 O
0.753 0.247 0.753 O
0.753 0.247 0.247 O
0.000 0.000 0.000 Cr
```

***

15.
VASP calculation (GGA-PBEsol) on a relaxed structure of NbCrPt3.

Results
Symmetry = Pm-3m (221)
Raw total energy = -0.543 Ry per atom

```
NbCrPt3
1.0
-1.155 -2.211 -3.737
1.899 -3.735 1.623
-3.905 -1.162 1.894
Cr Nb Pt
1 1 3
Direct
0.000 0.000 0.000 Cr
0.500 0.500 0.500 Nb
0.000 0.500 0.000 Pt
0.000 0.000 0.500 Pt
0.500 0.000 0.000 Pt
```

***

16.
VASP calculation (GGA-PBEsol) on a relaxed structure of NbCr2Re.

Results
Symmetry = Fm-3m (225)
Raw total energy = -0.822 Ry per atom

```
NbCr2Re
1.0
4.251 0.000 0.000
2.125 3.681 0.000
2.125 1.227 3.471
Re Nb Cr
1 1 2
Direct
0.500 0.500 0.500 Re
0.000 0.000 0.000 Nb
0.250 0.250 0.250 Cr
0.750 0.750 0.750 Cr
```

***

17.
VASP calculation (GGA-PBEsol) on a relaxed structure of NbCrRh2Se.

Results
Symmetry = P4/mmm (123)
Uncorrected formation energy = 0.85 eV/atom

```
NbCrRh2Se
1.0
-0.263 4.319 0.783
-4.356 -0.160 -0.579
-0.548 -0.821 4.346
Cr Nb Rh Se
1 1 2 1
Direct
0.000 0.000 0.000 Cr
0.500 0.500 0.500 Nb
0.000 0.500 0.000 Rh
0.500 0.000 0.000 Rh
0.000 0.000 0.500 Se
```

***

18.
VASP calculation (GGA-PBEsol) on a relaxed structure of SrNb2CrRu.

Results
Symmetry = P4/mmm (123)
Raw total energy = -0.574 Ry per atom

```
SrNb2CrRu
1.0
-3.515 3.303 -0.946
-3.365 -3.229 1.229
0.204 1.526 4.570
Ru Nb Cr Sr
1 2 1 1
Direct
0.000 0.000 0.000 Ru
0.000 0.000 0.500 Nb
0.000 0.500 0.000 Nb
0.500 0.000 0.000 Cr
0.500 0.500 0.500 Sr
```

***

19.
VASP calculation (GGA-PBEsol) on a relaxed structure of NbCrS2.

Results
Symmetry = I-42d (122)
Uncorrected formation energy = -0.33 eV/atom

```
NbCrS2
1.0
5.436 0.000 0.000
0.000 5.436 0.000
-2.718 -2.718 5.052
Cr Nb S
2 2 4
Direct
0.750 0.250 0.500 Cr
0.500 0.500 0.000 Cr
0.250 0.750 0.500 Nb
0.000 0.000 0.000 Nb
0.851 0.375 0.250 S
0.399 0.875 0.250 S
0.625 0.601 0.750 S
0.125 0.149 0.750 S
```

***

20.
VASP calculation (GGA-PBEsol) on a relaxed structure of Ti2NbCrSb.

Results
Symmetry = P4/mmm (123)
Uncorrected formation energy = 1.34 eV/atom

```
Ti2NbCrSb
1.0
-1.602 -4.050 1.630
4.382 -2.007 -0.680
1.295 1.302 4.507
Sb Nb Ti Cr
1 1 2 1
Direct
0.000 0.000 0.000 Sb
0.500 0.500 0.500 Nb
0.000 0.000 0.500 Ti
0.000 0.500 0.000 Ti
0.500 0.000 0.000 Cr
```